## MoHS2 (PBE)

Data for an optimized crystal structure of MoHS2.

The structure in extended XYZ format:
```
8
Lattice="5.147 0.000 0.000 0.000 5.147 0.000 2.573 2.573 4.536" Properties=species:S:1:pos:R:3 pbc="T T T"
H 2.573 2.573 0.000
H 2.573 5.147 2.268
Mo 0.000 0.000 0.000
Mo 5.147 2.573 2.268
S 3.605 1.287 1.134
S 1.541 3.860 1.134
S 3.860 4.115 3.402
S 6.434 6.179 3.402
```

The value obtained for the uncorrected energy is -5.422 eV/atom. The calculation puts the total magnetization at 0.000 μB/cell. For the offset from the most stable computed form, the calculation gives 679.5 meV/atom. As for the space group: I-42d.

## ZrTeAs2Br (PBE)

Data for an optimized crystal structure of ZrTeAs2Br.

The structure in extended XYZ format:
```
5
Lattice="-0.973 -1.809 -4.934 4.978 1.292 -1.455 1.605 -4.628 1.381" Properties=species:S:1:pos:R:3 pbc="T T T"
As 2.489 0.646 -0.728
As -0.486 -0.905 -2.467
Te 2.805 -2.573 -2.504
Br 0.803 -2.314 0.690
Zr 0.000 0.000 0.000
```

The value obtained for the uncorrected energy is -4.490 eV/atom. The calculation puts the total magnetization at 0.000 μB/cell. For the offset from the most stable computed form, the calculation gives 0.0 meV/atom. The value obtained for the energy relative to the elements, uncorrected is 0.0428 eV per atom. As for the space group: P4/mmm.